{"formula": "TlZnCoTc", "functional": "PBE", "state": "optimized geometry", "spacegroup": "No. 216", "final_energy_ev_per_cell": -18.95, "de_polymorph_mev_per_atom": 0, "lattice_angstrom": [[2.2565, -3.8266, -0.0118], [-0.2263, -2.7229, 3.5028], [-2.1748, -3.8600, -0.3241]], "species": ["Tc", "Tl", "Zn", "Co"], "fractional_positions": [[0.5000, 0.5000, 0.5000], [0.0000, 0.0000, 0.0000], [0.2500, 0.2500, 0.2500], [0.7500, 0.7500, 0.7500]]}



{"formula": "TmCoTc", "functional": "PBE", "state": "optimized geometry", "delta_e_f_ev_per_atom": 1.156, "spacegroup": "No. 216", "final_energy_ev_per_cell": -18.47, "lattice_angstrom": [[2.7221, 2.4993, 2.3296], [-1.5672, 3.3268, 2.3579], [-0.0158, -0.2311, 4.3623]], "species": ["Tc", "Tm", "Co"], "fractional_positions": [[0.7500, 0.7500, 0.7500], [0.0000, 0.0000, 0.0000], [0.2500, 0.2500, 0.2500]]}



{"formula": "CoTcW", "functional": "PBE", "state": "optimized geometry", "delta_e_f_ev_per_atom": 0.649, "spacegroup": "No. 216", "final_energy_ev_per_cell": -28.48, "de_polymorph_mev_per_atom": 0, "lattice_angstrom": [[0.0000, 2.8475, 2.8475], [2.8475, 0.0000, 2.8475], [2.8475, 2.8475, 0.0000]], "species": ["Co", "Tc", "W"], "fractional_positions": [[0.0000, 0.0000, 0.0000], [0.2500, 0.2500, 0.2500], [0.7500, 0.7500, 0.7500]]}



{"formula": "ZnCoTcW", "functional": "PBE", "state": "optimized geometry", "delta_e_f_ev_per_atom": 0.038, "spacegroup": "No. 216", "final_energy_ev_per_cell": -31.54, "de_polymorph_mev_per_atom": 0, "lattice_angstrom": [[-3.0120, -0.6792, 2.9318], [-2.8698, 3.0296, 0.8452], [-4.0545, -0.5158, -1.1932]], "species": ["Zn", "Tc", "Co", "W"], "fractional_positions": [[0.0000, 0.0000, 0.0000], [0.2500, 0.2500, 0.2500], [0.7500, 0.7500, 0.7500], [0.5000, 0.5000, 0.5000]]}



{"formula": "YCo2Tc", "functional": "PBE", "state": "optimized geometry", "delta_e_f_ev_per_atom": 0.381, "spacegroup": "No. 216", "final_energy_ev_per_cell": -29.51, "lattice_angstrom": [[0.0000, 3.1326, 3.1326], [3.1326, 0.0000, 3.1326], [3.1326, 3.1326, 0.0000]], "species": ["Co", "Co", "Y", "Tc"], "fractional_positions": [[0.0000, 0.0000, 0.0000], [0.7500, 0.7500, 0.7500], [0.5000, 0.5000, 0.5000], [0.2500, 0.2500, 0.2500]]}



{"formula": "ZrCoTc2", "functional": "PBE", "state": "optimized geometry", "delta_e_f_ev_per_atom": -0.021, "spacegroup": "No. 216", "final_energy_ev_per_cell": -36.46, "lattice_angstrom": [[1.8818, -3.1031, -2.5298], [-1.2662, -4.2226, 0.3697], [-2.3159, -1.9075, -3.2509]], "species": ["Tc", "Tc", "Zr", "Co"], "fractional_positions": [[0.0000, 0.0000, 0.0000], [0.7500, 0.7500, 0.7500], [0.5000, 0.5000, 0.5000], [0.2500, 0.2500, 0.2500]]}



{"formula": "CoTe2", "functional": "PBE", "state": "optimized geometry", "spacegroup": "No. 58", "final_energy_ev_per_cell": -27.87, "lattice_angstrom": [[-0.3576, 3.8105, -3.7510], [2.9078, -3.7817, -4.1190], [-3.4625, -1.4346, -1.1272]], "species": ["Te", "Te", "Te", "Te", "Co", "Co"], "fractional_positions": [[0.2730, 0.8619, 0.5005], [0.2270, 0.3619, 0.0004], [0.7270, 0.1381, 0.5005], [0.7730, 0.6381, 0.0004], [0.0000, 0.0000, 0.0005], [0.5000, 0.5000, 0.5005]]}



{"formula": "Co9Te", "functional": "PBE", "state": "optimized geometry", "spacegroup": "No. 129", "final_energy_ev_per_cell": -127.39, "lattice_angstrom": [[-1.6731, -1.4384, 1.3164], [1.8587, -1.7006, 0.5041], [10.3980, 22.6031, 37.9145]], "species": ["Co", "Co", "Co", "Co", "Co", "Co", "Co", "Co", "Co", "Co", "Co", "Co", "Co", "Co", "Co", "Co", "Co", "Co", "Te", "Te"], "fractional_positions": [[0.5000, 0.0000, 0.2655], [0.0000, 0.5000, 0.8060], [0.5000, 0.0000, 0.4093], [0.5000, 0.0000, 0.5544], [0.0000, 0.5000, 0.3731], [0.5000, 0.0000, 0.6988], [0.0000, 0.5000, 0.7345], [0.0000, 0.5000, 0.5907], [0.0000, 0.5000, 0.3012], [0.0000, 0.5000, 0.6631], [0.5000, 0.0000, 0.3369], [0.0000, 0.5000, 0.2296], [0.5000, 0.0000, 0.6269], [0.5000, 0.0000, 0.1940], [0.0000, 0.5000, 0.5181], [0.5000, 0.0000, 0.7704], [0.0000, 0.5000, 0.4456], [0.5000, 0.0000, 0.4819], [0.0000, 0.5000, 0.1500], [0.5000, 0.0000, 0.8500]]}